(1)
Below is crystalline Fe4Ru at its relaxed geometry, with properties calculated at the PBE-GGA level.

Properties
N(E_F) ... 1.2926 states/eV/atom
SG ... I4/mmm (139)
Energy of formation ... 0.524 eV per atom
Energy ... -8.10 eV per atom
Polymorph energy (0 for the lowest one) ... 371 meV per atom

Cell: 5.8788 5.8788 5.8788 Å, 146.45 146.45 48.18°
Each line ends with the local moment (μB).
Positions (direct):
1 Fe 0.2500 0.7500 0.5000  1.85
2 Fe 0.5973 0.5973 0.0000  -1.50
3 Fe 0.4027 0.4027 0.0000  -1.50
4 Fe 0.7500 0.2500 0.5000  1.85
5 Ru 0.0000 0.0000 0.0000  -0.50

---

(2)
Below is crystalline Dy9Er2Th at its relaxed geometry, with properties calculated at the PBE-GGA level.

Properties
N(E_F) ... 1.5162 states/eV/atom
SG ... P4/mmm (123)
Energy of formation ... 0.028 eV per atom
Energy ... -4.80 eV per atom

Cell: 5.0099 5.0099 15.0059 Å, 90.00 90.00 90.00°
Positions (direct):
1 Dy 0.5000 0.5000 0.0000
2 Dy 0.5000 0.5000 0.3354
3 Dy 0.5000 0.5000 0.6646
4 Dy 0.5000 0.0000 0.1658
5 Dy 0.5000 0.0000 0.5000
6 Dy 0.5000 0.0000 0.8342
7 Dy 0.0000 0.5000 0.1658
8 Dy 0.0000 0.5000 0.5000
9 Dy 0.0000 0.5000 0.8342
10 Er 0.0000 0.0000 0.3336
11 Er 0.0000 0.0000 0.6664
12 Th 0.0000 0.0000 0.0000

---

- energy of formation of number 1 (Fe4Ru)?
  0.524 eV per atom